# 1
Crystalline Li3Cd2Bi2 at its relaxed geometry. Source: Alexandria via LeMat-Bulk, functional PBE.

**Formation enthalpy at 0 K**: -0.266 eV per atom

```
Li3Cd2Bi2
1.0
-4.322 -0.576 -0.642
-0.001 -2.502 2.252
-4.338 7.011 7.791
Cd Li Bi
2 3 2
direct
0.288 0.500 0.424 Cd
0.712 0.500 0.576 Cd
0.853 0.000 0.294 Li
0.000 0.000 0.000 Li
0.147 0.000 0.706 Li
0.578 0.500 0.845 Bi
0.422 0.500 0.155 Bi
```

---

# 2
Crystalline BaIr3S at its relaxed geometry. Source: Alexandria via LeMat-Bulk, functional PBE.

**Distance to the lowest polymorph of the same formula**: 0.00 eV/f.u.

```
BaIr3S
1.0
4.629 0.000 0.000
0.000 4.629 0.000
0.000 0.000 4.629
Ir Ba S
3 1 1
direct
0.000 0.500 0.000 Ir
0.000 0.000 0.500 Ir
0.500 0.000 0.000 Ir
0.500 0.500 0.500 Ba
0.000 0.000 0.000 S
```

---

# 3
Crystalline TiPb2S4 at its relaxed geometry. Source: Alexandria via LeMat-Bulk, functional PBE.

**Distance to the lowest polymorph of the same formula**: 0.66 eV/f.u.

```
TiPb2S4
1.0
-4.578 0.847 0.204
-0.392 -1.030 -4.528
-3.754 -7.376 -0.395
S Pb Ti
4 2 1
direct
0.834 0.834 0.332 S
0.166 0.166 0.668 S
0.500 0.000 0.000 S
0.000 0.500 0.000 S
0.353 0.353 0.294 Pb
0.647 0.647 0.706 Pb
0.000 0.000 0.000 Ti
```

---

# 4
Crystalline SnP2PtC at its relaxed geometry. Source: Alexandria via LeMat-Bulk, functional PBE.

**Formation enthalpy at 0 K**: 1.691 eV per atom

```
SnP2PtC
1.0
-3.917 1.497 1.659
-2.829 -4.170 -2.916
0.439 -2.768 3.533
C P Pt Sn
1 2 1 1
direct
0.500 0.500 0.500 C
0.500 0.000 0.000 P
0.000 0.000 0.500 P
0.000 0.000 0.000 Pt
0.000 0.500 0.000 Sn
```

---

# 5
Crystalline Pu2CdC at its relaxed geometry. Source: Alexandria via LeMat-Bulk, functional PBE.

**Formation enthalpy at 0 K**: 0.095 eV per atom

```
Pu2CdC
1.0
-1.868 -2.724 0.159
-0.257 -1.985 -2.633
6.909 -6.616 2.236
Pu C Cd
2 1 1
direct
0.884 0.884 0.347 Pu
0.116 0.116 0.653 Pu
0.500 0.500 0.500 C
0.000 0.000 0.000 Cd
```

---

# 6
Crystalline Ta2CuBr at its relaxed geometry. Source: Alexandria via LeMat-Bulk, functional PBE.

**Distance to the lowest polymorph of the same formula**: 0.01 eV/f.u.

```
Ta2CuBr
1.0
2.982 0.000 0.000
0.000 2.982 0.000
0.000 0.000 8.964
Ta Cu Br
2 1 1
direct
0.000 0.000 0.001 Ta
0.500 0.500 0.246 Ta
0.500 0.500 0.807 Cu
0.000 0.000 0.447 Br
```

---

# 7
Crystalline AcPr5Y12 at its relaxed geometry. Source: Alexandria via LeMat-Bulk, functional PBE.

**Formation enthalpy at 0 K**: 0.093 eV per atom

```
AcPr5Y12
1.0
11.636 0.000 -0.017
5.818 8.821 -0.008
-0.015 0.000 6.003
Y Pr Ac
12 5 1
direct
0.842 0.665 0.548 Y
0.347 0.666 0.951 Y
0.493 0.665 0.452 Y
0.818 0.000 0.461 Y
0.987 0.666 0.049 Y
0.158 0.335 0.452 Y
0.013 0.334 0.951 Y
0.670 0.000 0.959 Y
0.182 0.000 0.539 Y
0.653 0.334 0.049 Y
0.330 0.000 0.041 Y
0.507 0.335 0.548 Y
0.671 0.659 0.000 Pr
0.166 0.669 0.500 Pr
0.834 0.331 0.500 Pr
0.500 0.000 0.500 Pr
0.329 0.341 0.000 Pr
0.000 0.000 0.000 Ac
```

---

# 8
Crystalline Co3Au at its relaxed geometry. Source: Alexandria via LeMat-Bulk, functional PBE.

**Formation enthalpy at 0 K**: 0.241 eV per atom

```
Co3Au
1.0
-2.121 -0.784 3.892
3.969 -2.122 0.031
1.160 2.186 1.073
Co Au
3 1
direct
0.000 0.500 0.500 Co
0.500 0.500 0.000 Co
0.500 0.000 0.500 Co
0.000 0.000 0.000 Au
```

---

# 9
Crystalline NaPu4Ge5 at its relaxed geometry. Source: Alexandria via LeMat-Bulk, functional PBE.

**Formation enthalpy at 0 K**: -0.285 eV per atom

```
NaPu4Ge5
1.0
-2.271 1.410 -2.742
-2.477 -2.862 0.580
-7.402 8.540 10.519
Ge Na Pu
5 1 4
direct
0.500 0.500 0.131 Ge
0.500 0.500 0.869 Ge
0.500 0.500 0.500 Ge
0.500 0.500 0.307 Ge
0.500 0.500 0.693 Ge
0.000 0.000 0.000 Na
0.000 0.000 0.777 Pu
0.000 0.000 0.223 Pu
0.000 0.000 0.396 Pu
0.000 0.000 0.604 Pu
```

---

# 10
Crystalline Zn3InAg3 at its relaxed geometry. Source: Alexandria via LeMat-Bulk, functional PBE.

**Formation enthalpy at 0 K**: -0.010 eV per atom
**Distance to the lowest polymorph of the same formula**: 0.00 eV/f.u.

```
Zn3InAg3
1.0
-1.461 -3.155 3.271
4.988 -5.137 -2.727
2.115 4.806 5.580
Zn Ag In
6 6 2
direct
0.250 0.818 0.042 Zn
0.750 0.042 0.223 Zn
0.750 0.182 0.958 Zn
0.750 0.777 0.818 Zn
0.250 0.223 0.182 Zn
0.250 0.958 0.777 Zn
0.250 0.093 0.456 Ag
0.750 0.456 0.363 Ag
0.750 0.907 0.544 Ag
0.750 0.637 0.093 Ag
0.250 0.544 0.637 Ag
0.250 0.363 0.907 Ag
0.750 0.333 0.667 In
0.250 0.667 0.333 In
```

---

# 11
Crystalline CaTb2SmS4 at its relaxed geometry. Source: Alexandria via LeMat-Bulk, functional PBE.

**Total energy**: -6.097 eV/atom

```
CaTb2SmS4
1.0
3.950 0.000 0.000
0.000 6.873 -0.153
0.000 2.404 6.457
Ca Tb S Sm
1 2 4 1
direct
0.000 0.500 0.500 Ca
0.000 0.000 0.000 Tb
0.500 0.000 0.500 Tb
0.500 0.754 0.251 S
0.000 0.245 0.255 S
0.000 0.755 0.745 S
0.500 0.246 0.749 S
0.500 0.500 0.000 Sm
```

---

# 12
Crystalline Mo3Ru at its relaxed geometry. Source: Alexandria via LeMat-Bulk, functional PBE.

**Formation enthalpy at 0 K**: 0.197 eV per atom

```
Mo3Ru
1.0
4.708 5.330 4.646
2.862 7.997 0.141
-6.053 -5.877 -0.999
Mo Ru
6 2
direct
0.750 0.250 0.500 Mo
0.500 0.000 0.500 Mo
0.878 0.878 0.000 Mo
0.000 0.500 0.500 Mo
0.250 0.750 0.500 Mo
0.122 0.122 0.000 Mo
0.374 0.374 0.000 Ru
0.626 0.626 0.000 Ru
```

---

Number 1: volume 165.07 Å³ per cell. Number 2: volume 99.21 Å³ per cell. Number 3: volume 165.08 Å³ per cell. Number 4: volume 118.41 Å³ per cell. Number 5: volume 91.28 Å³ per cell. Number 6: volume 79.71 Å³ per cell. Number 7: volume 616.11 Å³ per cell. Number 8: volume 51.63 Å³ per cell. Number 9: volume 226.41 Å³ per cell. Number 10: volume 242.71 Å³ per cell. Number 11: volume 176.70 Å³ per cell. Number 12: volume 123.73 Å³ per cell.